[1]
! InFeNi (PBE-GGA, optimized geometry); values from VASP
! * E above lowest polymorph: 71 meV per atom
! * space-group type: P3m1, No. 156
! * electronic total energy: -5.48 eV per atom
! * formation enthalpy at 0 K: 0.183 eV per atom
&SYSTEM
  ibrav = 0, nat = 3, ntyp = 3
/
ATOMIC_SPECIES
Fe 55.84 Fe.upf
In 114.82 In.upf
Ni 58.69 Ni.upf
ATOMIC_POSITIONS angstrom
Fe 1.041 -1.825 1.455
In 1.437 -1.695 -1.439
Ni 3.095 -0.773 0.482
CELL_PARAMETERS angstrom
-0.166 -2.713 -3.283
3.452 2.432 0.582
1.144 -2.006 1.600

***

[2]
! CoRuCl2 (PBE-GGA, optimized geometry); values from VASP
! * E above lowest polymorph: 309 meV per atom
! * space-group type: Imm2, No. 44
! * electronic total energy: -4.68 eV per atom
! * formation energy without anion corrections: 0.338 eV per atom
&SYSTEM
  ibrav = 0, nat = 4, ntyp = 3
/
ATOMIC_SPECIES
Ru 101.07 Ru.upf
Co 58.93 Co.upf
Cl 35.45 Cl.upf
ATOMIC_POSITIONS angstrom
Ru -3.052 -3.711 -3.145
Co -2.506 -4.262 -5.394
Cl -0.054 -0.091 -0.115
Cl -2.244 -1.193 -3.437
CELL_PARAMETERS angstrom
-2.626 -3.322 -7.683
-3.194 -6.579 -4.846
0.875 5.593 6.702

***

[3]
! Cs2Tl5In4 (PBE-GGA, optimized geometry); values from VASP
! * space-group type: C2/m, No. 12
! * electronic total energy: -2.23 eV per atom
! * formation enthalpy at 0 K: -0.006 eV per atom
&SYSTEM
  ibrav = 0, nat = 11, ntyp = 3
/
ATOMIC_SPECIES
Cs 132.91 Cs.upf
Tl 204.38 Tl.upf
In 114.82 In.upf
ATOMIC_POSITIONS angstrom
Cs 7.354 6.233 3.795
Cs 7.354 2.214 2.535
Tl 5.409 2.187 6.089
Tl 9.299 6.260 0.241
Tl 3.677 4.223 3.165
Tl 9.299 2.187 6.089
Tl 5.409 6.260 0.241
In 3.677 1.146 1.745
In 11.031 7.300 4.586
In 11.031 4.849 6.357
In 3.677 3.598 -0.027
CELL_PARAMETERS angstrom
7.354 0.000 0.000
3.677 7.512 -0.956
3.677 0.935 7.287

***

[4]
! GdZrAlTc (PBE-GGA, optimized geometry); values from VASP
! * space-group type: F-43m, No. 216
! * electronic total energy: -9.39 eV per atom
! * formation enthalpy at 0 K: -0.202 eV per atom
&SYSTEM
  ibrav = 0, nat = 4, ntyp = 4
/
ATOMIC_SPECIES
Gd 157.25 Gd.upf
Tc 98.00 Tc.upf
Zr 91.22 Zr.upf
Al 26.98 Al.upf
ATOMIC_POSITIONS angstrom
Gd 0.000 0.000 0.000
Tc 2.432 1.404 0.993
Zr 4.864 2.808 1.986
Al 7.296 4.212 2.979
CELL_PARAMETERS angstrom
4.864 0.000 0.000
2.432 4.212 0.000
2.432 1.404 3.972

***

[5]
! Na3SiO3 (PBE-GGA, optimized geometry); values from VASP
! * E above lowest polymorph: 0 meV per atom
! * space-group type: C2/m, No. 12
! * electronic total energy: -5.33 eV per atom
! * formation energy without anion corrections: -1.868 eV per atom
&SYSTEM
  ibrav = 0, nat = 14, ntyp = 3
/
ATOMIC_SPECIES
Na 22.99 Na.upf
Si 28.09 Si.upf
O 16.00 O.upf
ATOMIC_POSITIONS angstrom
Na 2.081 3.360 1.382
Na -0.606 2.696 3.348
Na 2.684 0.658 3.348
Na -0.649 3.951 -0.672
Na 3.826 1.179 -0.672
Na -0.004 -0.006 5.313
Si 1.505 2.429 6.084
Si 0.573 0.925 0.612
O 2.874 4.641 -0.302
O 2.262 1.045 5.730
O -0.072 2.491 5.730
O -0.185 2.309 0.965
O 2.149 0.863 0.965
O -0.797 -1.287 6.997
CELL_PARAMETERS angstrom
6.238 -0.315 -0.672
-3.061 5.444 -0.672
-1.099 -1.775 8.039

***

[6]
! MgTaCr2As (PBE-GGA, optimized geometry); values from VASP
! * space-group type: P4/mmm, No. 123
! * electronic total energy: -5.82 eV per atom
! * formation enthalpy at 0 K: 1.653 eV per atom
&SYSTEM
  ibrav = 0, nat = 5, ntyp = 4
/
ATOMIC_SPECIES
Cr 52.00 Cr.upf
As 74.92 As.upf
Mg 24.30 Mg.upf
Ta 180.95 Ta.upf
ATOMIC_POSITIONS angstrom
Cr 0.000 0.000 2.333
Cr 2.333 0.000 0.000
As 0.000 2.301 0.000
Mg 0.000 0.000 0.000
Ta 2.333 2.301 2.333
CELL_PARAMETERS angstrom
4.665 0.000 0.000
0.000 4.602 0.000
0.000 0.000 4.665

***

The calculation returns the following magnetization values, one per record and in order: 3.214; 4.113; 0.000; 7.048; 0.000; 5.819 μB/cell.